18
Lattice="-4.111 -3.409 -0.856 5.076 -1.862 0.119 -0.760 -1.467 9.495" Properties=species:S:1:pos:R:3 comment="GGA+U NpTlFeO6, optimized geometry" dos_at_fermi_per_ev_atom=0.37 spacegroup="P-31c (163)" volume_a3_per_cell=244.1 dft_energy_ev_per_atom=-7.402 pbc="T T T"
Np 1.824 -2.744 2.168
Np -1.619 -3.993 6.590
Tl 0.000 0.000 0.000
Tl -0.380 -0.733 4.747
Fe -1.238 -3.260 1.843
Fe 1.444 -3.477 6.915
O 0.502 -3.605 0.825
O -2.409 -4.254 0.491
O 3.123 -3.992 5.866
O 2.614 -2.483 8.267
O 0.050 -2.404 3.183
O -1.105 -5.127 2.669
O 1.756 -5.314 7.761
O -2.918 -2.745 2.892
O 1.310 -1.610 6.089
O -1.551 -1.423 0.997
O 0.155 -4.333 5.575
O -0.297 -3.132 7.933